Entry 1:
Here is a relaxed structure of Sr5CuO6 from Alexandria. Energies are from PBE.

Lattice parameters (Å, degrees): 6.151 6.161 6.294 60.69 81.83 73.11
Each line ends with the local moment (μB).
Atoms (fractional coordinates):
1 Sr 0.500 0.162 0.676  0.00
2 O 0.798 0.790 0.000  0.08
3 Sr 0.500 0.838 0.324  0.00
4 Sr 0.500 0.500 0.000  0.00
5 O 0.733 0.098 0.339  0.07
6 Cu 0.000 0.000 0.000  0.51
7 Sr 0.000 0.329 0.343  0.00
8 O 0.733 0.437 0.661  0.07
9 O 0.267 0.902 0.661  0.07
10 O 0.267 0.563 0.339  0.07
11 O 0.202 0.210 0.000  0.08
12 Sr 0.000 0.671 0.657  0.00

Summary:
ρ = 5.0 Mg/m³
total magnetic moment = 0.09 μB per atom
crystal system = monoclinic
E_tot = -5.768 eV/atom
formation energy without anion corrections = -2.247 eV/atom
V = 199.0 Å³ per cell

---

Entry 2:
Here is a relaxed structure of Sr4CuO2 from Alexandria. Energies are from PBE.

Lattice parameters (Å, degrees): 10.297 10.297 10.297 139.39 139.39 58.78
Atoms (fractional coordinates):
1 O 0.375 0.125 0.250
2 Sr 0.599 0.322 0.723
3 Sr 0.626 0.849 0.777
4 O 0.875 0.125 0.750
5 Sr 0.151 0.928 0.777
6 O 0.875 0.625 0.750
7 Sr 0.072 0.849 0.223
8 Sr 0.599 0.876 0.277
9 Cu 0.000 0.000 0.000
10 O 0.875 0.125 0.250
11 Cu 0.750 0.250 0.500
12 Sr 0.124 0.401 0.723
13 Sr 0.678 0.401 0.277
14 Sr 0.151 0.374 0.223

Summary:
ρ = 3.2 Mg/m³
total magnetic moment = 0.00 μB per atom
crystal system = tetragonal
E_tot = -4.008 eV/atom
formation energy without anion corrections = -1.045 eV/atom
V = 458.2 Å³ per cell